1.
Below is a geometry-optimized Hf2Ga3W4N3 structure, with properties calculated at the GGA-PBE level.

Structure (POSCAR):
```
Hf2Ga3W4N3
1.0
4.681 -2.723 0.000
4.681 2.723 0.000
-3.067 0.000 13.081
Hf Ga W N
4 6 8 6
Direct
0.033 0.863 0.607
0.137 0.967 0.893
0.863 0.033 0.107
0.967 0.137 0.393
0.082 0.325 0.748
0.325 0.082 0.248
0.495 0.505 0.750
0.505 0.495 0.250
0.675 0.918 0.752
0.918 0.675 0.252
0.194 0.379 0.081
0.322 0.452 0.418
0.379 0.194 0.581
0.452 0.322 0.918
0.548 0.678 0.082
0.621 0.806 0.419
0.678 0.548 0.582
0.806 0.621 0.919
0.000 0.500 0.500
0.150 0.704 0.000
0.296 0.850 0.500
0.500 0.000 0.000
0.704 0.150 0.500
0.850 0.296 0.000
```

M_tot in μB per formula unit: 0.0
Crystal system: monoclinic
Mass density in g/cm3: 13.4
E in eV/atom: -9.176

***

2.
Below is a geometry-optimized Hf4Ga3W2N3 structure, with properties calculated at the GGA-PBE level.

Structure (POSCAR):
```
Hf4Ga3W2N3
1.0
4.713 -2.735 0.000
4.713 2.735 0.000
-3.098 0.000 13.563
Hf Ga W N
8 6 4 6
Direct
0.024 0.205 0.094
0.143 0.301 0.406
0.205 0.024 0.594
0.301 0.143 0.906
0.699 0.857 0.094
0.795 0.976 0.406
0.857 0.699 0.594
0.976 0.795 0.906
0.120 0.880 0.250
0.290 0.415 0.748
0.415 0.290 0.248
0.585 0.710 0.752
0.710 0.585 0.252
0.880 0.120 0.750
0.377 0.528 0.086
0.472 0.623 0.414
0.528 0.377 0.586
0.623 0.472 0.914
0.000 0.500 0.000
0.147 0.676 0.500
0.324 0.853 0.000
0.500 0.000 0.500
0.676 0.147 0.000
0.853 0.324 0.500
```

M_tot in μB per formula unit: 0.0
Crystal system: monoclinic
Mass density in g/cm3: 12.7
E in eV/atom: -9.081

***

3.
Below is a geometry-optimized Hf4ZnGaN2 structure, with properties calculated at the GGA-PBE level.

Structure (POSCAR):
```
Hf4ZnGaN2
1.0
3.217 0.000 0.000
-1.609 2.786 0.000
0.000 0.000 13.861
Hf Zn Ga N
4 1 1 2
Direct
0.000 0.000 0.160
0.000 0.000 0.840
0.333 0.667 0.340
0.333 0.667 0.660
0.000 0.000 0.500
0.333 0.667 0.000
0.667 0.333 0.251
0.667 0.333 0.749
```

M_tot in μB per formula unit: 0.0
Crystal system: hexagonal
Mass density in g/cm3: 11.7
E in eV/atom: -8.655

***

- mass density of number 2 (Hf4Ga3W2N3)?
  12.7 g/cm3